A plane-wave DFT calculation with GGA-PBE was carried out for an optimized crystal structure of LaCoTc2.

Summary:
* relative energy among the computed polymorphs: 82 meV per atom
* energy: -7.976 eV per atom
* symmetry: P4mm, No. 99

```
LaCoTc2
1.0
3.109 0.000 0.000
0.000 3.109 0.000
0.000 0.000 7.310
La Co Tc
1 1 2
direct
0.000 0.000 0.000
0.500 0.500 0.698
0.000 0.000 0.510
0.500 0.500 0.321
```

A plane-wave DFT calculation with GGA-PBE was carried out for an optimized crystal structure of LaCoTc2.

Summary:
* relative energy among the computed polymorphs: 553 meV per atom
* energy: -7.506 eV per atom
* symmetry: P4/mmm, No. 123

```
LaCoTc2
1.0
4.544 0.000 0.000
0.000 4.544 0.000
0.000 0.000 3.319
La Co Tc
1 1 2
direct
0.000 0.000 0.000
0.500 0.500 0.000
0.000 0.500 0.500
0.500 0.000 0.500
```

A plane-wave DFT calculation with GGA-PBE was carried out for an optimized crystal structure of LaCoTc2.

Summary:
* relative energy among the computed polymorphs: 477 meV per atom
* energy: -7.581 eV per atom
* symmetry: I4_1/amd, No. 141

```
LaCoTc2
1.0
4.713 0.000 0.000
0.000 4.713 0.000
0.000 0.000 16.437
La Co Tc
4 4 8
direct
0.000 0.250 0.375
0.000 0.750 0.625
0.500 0.250 0.125
0.500 0.750 0.875
0.000 0.250 0.875
0.000 0.750 0.125
0.500 0.250 0.625
0.500 0.750 0.375
0.000 0.000 0.000
0.000 0.500 0.000
0.250 0.250 0.750
0.250 0.750 0.250
0.500 0.000 0.500
0.500 0.500 0.500
0.750 0.250 0.750
0.750 0.750 0.250
```

A plane-wave DFT calculation with GGA-PBE was carried out for an optimized crystal structure of LaCoTc2.

Summary:
* relative energy among the computed polymorphs: 217 meV per atom
* energy: -7.842 eV per atom
* symmetry: C2/m, No. 12

```
LaCoTc2
1.0
9.754 0.000 0.000
0.000 2.956 0.000
-1.026 0.000 4.770
La Co Tc
2 2 4
direct
0.000 0.000 0.000
0.500 0.500 0.000
0.000 0.500 0.500
0.500 0.000 0.500
0.215 0.000 0.690
0.285 0.500 0.310
0.715 0.500 0.690
0.785 0.000 0.310
```

A plane-wave DFT calculation with GGA-PBE was carried out for an optimized crystal structure of La2CoTc.

Summary:
* relative energy among the computed polymorphs: 383 meV per atom
* energy: -6.448 eV per atom
* symmetry: F-43m, No. 216

```
La2CoTc
1.0
6.922 0.000 0.000
0.000 6.922 0.000
0.000 0.000 6.922
La Co Tc
8 4 4
direct
0.000 0.000 0.000
0.000 0.500 0.500
0.250 0.250 0.250
0.250 0.750 0.750
0.500 0.000 0.500
0.500 0.500 0.000
0.750 0.250 0.750
0.750 0.750 0.250
0.000 0.000 0.500
0.000 0.500 0.000
0.500 0.000 0.000
0.500 0.500 0.500
0.250 0.250 0.750
0.250 0.750 0.250
0.750 0.250 0.250
0.750 0.750 0.750
```

A plane-wave DFT calculation with GGA-PBE was carried out for an optimized crystal structure of LaCoTc2.

Summary:
* relative energy among the computed polymorphs: 523 meV per atom
* energy: -7.535 eV per atom
* symmetry: I4/mmm, No. 139

```
LaCoTc2
1.0
3.930 0.000 0.000
0.000 3.930 0.000
0.000 0.000 8.896
La Co Tc
2 2 4
direct
0.000 0.000 0.000
0.500 0.500 0.500
0.000 0.000 0.500
0.500 0.500 0.000
0.000 0.500 0.250
0.000 0.500 0.750
0.500 0.000 0.250
0.500 0.000 0.750
```

A plane-wave DFT calculation with GGA-PBE was carried out for an optimized crystal structure of LaCo3Tc.

Summary:
* energy: -6.765 eV per atom
* symmetry: Pm-3m, No. 221

```
LaCo3Tc
1.0
4.504 0.000 0.000
0.000 4.504 0.000
0.000 0.000 4.504
La Co Tc
1 3 1
direct
0.000 0.000 0.000
0.000 0.500 0.500
0.500 0.000 0.500
0.500 0.500 0.000
0.500 0.500 0.500
```

A plane-wave DFT calculation with GGA-PBE was carried out for an optimized crystal structure of LaCo2Tc2.

Summary:
* relative energy among the computed polymorphs: 0 meV per atom
* energy: -7.786 eV per atom
* symmetry: I4/mmm, No. 139

```
LaCo2Tc2
1.0
4.167 0.000 0.000
0.000 4.167 0.000
0.000 0.000 10.106
La Co Tc
2 4 4
direct
0.000 0.000 0.000
0.500 0.500 0.500
0.000 0.500 0.250
0.000 0.500 0.750
0.500 0.000 0.250
0.500 0.000 0.750
0.000 0.000 0.381
0.000 0.000 0.619
0.500 0.500 0.119
0.500 0.500 0.881
```